Pr2SmDy5Er | GGA-PBE | relaxed

Cell: 9.9777 9.9777 9.9777 Å, 128.41 128.41 75.97°
With the nearest neighbours (Å) after each atom.
Sites, in units of the cell vectors:
Pr: 0.1182 0.6182 0.7365  1 Pr 2.90, 2 Dy 3.03
Pr: 0.3818 0.1182 0.5000  1 Pr 2.90, 2 Dy 3.03
Pr: 0.6182 0.8818 0.5000  1 Pr 2.90, 2 Dy 3.03
Pr: 0.8818 0.3818 0.2635  1 Pr 2.90, 2 Dy 3.03
Sm: 0.2500 0.2500 0.0000  10 Dy 3.55-3.93
Sm: 0.7500 0.7500 0.0000  10 Dy 3.55-3.93
Dy: 0.0000 0.0000 0.0000  4 Pr 3.47, 8 Dy 3.81
Dy: 0.0722 0.1474 0.5000  1 Pr 3.03, 1 Er 3.13
Dy: 0.1474 0.6474 0.0753  1 Pr 3.03, 1 Er 3.13
Dy: 0.3526 0.4278 0.5000  1 Pr 3.03, 1 Er 3.13
Dy: 0.4278 0.9278 0.0753  1 Pr 3.03, 1 Er 3.13
Dy: 0.5000 0.5000 0.0000  4 Pr 3.47, 8 Dy 3.81
Dy: 0.5722 0.0722 0.9247  1 Pr 3.03, 1 Er 3.13
Dy: 0.6474 0.5722 0.5000  1 Pr 3.03, 1 Er 3.13
Dy: 0.8526 0.3526 0.9247  1 Pr 3.03, 1 Er 3.13
Dy: 0.9278 0.8526 0.5000  1 Pr 3.03, 1 Er 3.13
Er: 0.2500 0.7500 0.5000  4 Dy 3.13
Er: 0.7500 0.2500 0.5000  4 Dy 3.13

Computed properties:
volume = 32.95 Å³ per atom
space-group type = No. 140
magnetic moment = 0.000 μB/atom
ΔE_f = 269 meV per atom

TaMn2Br | GGA-PBE | relaxed

Cell: 7.1386 7.1386 7.1386 Å, 154.34 152.75 37.78°
With the nearest neighbours (Å) after each atom.
Sites, in units of the cell vectors:
Ta: 0.0000 0.0000 0.0000  4 Mn 2.50
Mn: 0.4299 0.4299 0.0000  2 Mn 2.44, 4 Ta 2.50
Mn: 0.7987 0.2987 0.5000  2 Mn 2.44
Br: 0.1709 0.6709 0.5000  2 Ta 2.80, 4 Mn 2.88

Computed properties:
volume = 18.00 Å³ per atom
E_form (uncorrected) = 1.620 eV per formula unit
space-group type = No. 44
excess energy over the best structure of this formula in the dataset = 0.780 eV per formula unit
magnetic moment = 1.172 μB/atom

Nd4Th | GGA-PBE | relaxed

Cell: 15.0958 15.0958 15.0958 Å, 13.92 13.92 13.92°
With the nearest neighbours (Å) after each atom.
Sites, in units of the cell vectors:
Nd: 0.1025 0.1025 0.1025  3 Th 3.57, 9 Nd 3.66-3.77
Nd: 0.3004 0.3004 0.3004  12 Nd 3.63-3.77
Nd: 0.6996 0.6996 0.6996  12 Nd 3.63-3.77
Nd: 0.8975 0.8975 0.8975  3 Th 3.57, 9 Nd 3.66-3.77
Th: 0.5000 0.5000 0.5000  6 Nd 3.57, 6 Th 3.66

Computed properties:
volume = 34.66 Å³ per atom
space-group type = No. 166
excess energy over the best structure of this formula in the dataset = 0.000 eV per formula unit
magnetic moment = 0.000 μB/atom
ΔE_f = 25 meV per atom

Y2PBr | GGA-PBE | relaxed

Cell: 3.5324 3.5324 7.3057 Å, 90.00 90.00 90.00°
With the nearest neighbours (Å) after each atom.
Sites, in units of the cell vectors:
Y: 0.0000 0.0000 0.2154  4 P 2.95, 1 Y 3.15, 4 Br 3.25
Y: 0.0000 0.0000 0.7846  4 P 2.95, 1 Y 3.15, 4 Br 3.25
P: 0.5000 0.5000 0.0000  8 Y 2.95
Br: 0.5000 0.5000 0.5000  8 Y 3.25, 4 Br 3.53

Computed properties:
volume = 22.79 Å³ per atom
E_form (uncorrected) = -4.294 eV per formula unit
space-group type = No. 123
magnetic moment = 0.291 μB/atom

AgIr3Au | GGA-PBE | relaxed

Cell: 4.8888 4.8888 4.8888 Å, 90.00 90.00 90.00°
With the nearest neighbours (Å) after each atom.
Sites, in units of the cell vectors:
Ag: 0.0000 0.0000 0.0000  12 Ir 3.46
Ir: 0.0000 0.5000 0.5000  2 Au 2.44
Ir: 0.5000 0.0000 0.5000  2 Au 2.44
Ir: 0.5000 0.5000 0.0000  2 Au 2.44
Au: 0.5000 0.5000 0.5000  6 Ir 2.44

Computed properties:
volume = 23.37 Å³ per atom
space-group type = No. 221
excess energy over the best structure of this formula in the dataset = 0.000 eV per formula unit
magnetic moment = 0.625 μB/atom
ΔE_f = 2310 meV per atom

TmBe3Ir3 | GGA-PBE | relaxed

Cell: 6.0328 6.0328 6.0328 Å, 90.00 90.00 90.00°
With the nearest neighbours (Å) after each atom.
Sites, in units of the cell vectors:
Tm: 0.0000 0.0000 0.0000  12 Be 3.37, 12 Ir 3.37
Tm: 0.5000 0.5000 0.5000  12 Be 3.37, 12 Ir 3.37
Be: 0.0000 0.2500 0.5000  4 Ir 2.13
Be: 0.0000 0.7500 0.5000  4 Ir 2.13
Be: 0.2500 0.5000 0.0000  4 Ir 2.13
Be: 0.5000 0.0000 0.2500  4 Ir 2.13
Be: 0.5000 0.0000 0.7500  4 Ir 2.13
Be: 0.7500 0.5000 0.0000  4 Ir 2.13
Ir: 0.0000 0.5000 0.2500  4 Be 2.13
Ir: 0.0000 0.5000 0.7500  4 Be 2.13
Ir: 0.2500 0.0000 0.5000  4 Be 2.13
Ir: 0.5000 0.2500 0.0000  4 Be 2.13
Ir: 0.5000 0.7500 0.0000  4 Be 2.13
Ir: 0.7500 0.0000 0.5000  4 Be 2.13

Computed properties:
volume = 15.68 Å³ per atom
space-group type = No. 223
magnetic moment = 0.000 μB/atom
ΔE_f = -73 meV per atom

Li3CdBr | GGA-PBE | relaxed

Cell: 5.2410 5.2410 5.2410 Å, 90.00 90.00 90.00°
With the nearest neighbours (Å) after each atom.
Sites, in units of the cell vectors:
Li: 0.0000 0.0000 0.5000  2 Cd 2.62
Li: 0.0000 0.5000 0.0000  2 Cd 2.62
Li: 0.5000 0.0000 0.0000  2 Cd 2.62
Cd: 0.0000 0.0000 0.0000  6 Li 2.62
Br: 0.5000 0.5000 0.5000  12 Li 3.71

Computed properties:
volume = 28.79 Å³ per atom
E_form (uncorrected) = -0.306 eV per formula unit
space-group type = No. 221
excess energy over the best structure of this formula in the dataset = 1.893 eV per formula unit
magnetic moment = 0.000 μB/atom

CrInRu2 | GGA-PBE | relaxed

Cell: 4.7208 4.7208 4.9020 Å, 103.71 103.71 35.48°
With the nearest neighbours (Å) after each atom.
Sites, in units of the cell vectors:
Cr: 0.0000 0.0000 0.0000  4 Ru 2.53
In: 0.5000 0.5000 0.5000  6 Ru 2.79-2.86, 4 Cr 2.84, 2 In 2.88
Ru: 0.2682 0.2682 0.7861  2 Cr 2.53, 2 Ru 2.63, 1 In 2.79
Ru: 0.7318 0.7318 0.2139  2 Cr 2.53, 2 Ru 2.63, 1 In 2.79

Computed properties:
volume = 15.35 Å³ per atom
space-group type = No. 12
magnetic moment = 0.453 μB/atom
ΔE_f = 208 meV per atom

Tl3V2AgCl9 | GGA-PBE | relaxed

Cell: 7.1225 7.1225 8.7972 Å, 90.00 90.00 120.00°
With the nearest neighbours (Å) after each atom.
Sites, in units of the cell vectors:
Tl: 0.0000 0.0000 0.0000  12 Cl 3.53-3.56
Tl: 0.3333 0.6667 0.6423  12 Cl 3.46-3.76
Tl: 0.6667 0.3333 0.3577  12 Cl 3.46-3.76
V: 0.3333 0.6667 0.1591  6 Cl 2.39-2.49
V: 0.6667 0.3333 0.8409  6 Cl 2.39-2.49
Ag: 0.0000 0.0000 0.5000  6 Cl 2.70
Cl: 0.0000 0.5000 0.0000  2 V 2.49
Cl: 0.1752 0.3504 0.3170  1 V 2.39
Cl: 0.1752 0.8248 0.3170  1 V 2.39
Cl: 0.3504 0.1752 0.6830  1 V 2.39
Cl: 0.5000 0.0000 0.0000  2 V 2.49
Cl: 0.5000 0.5000 0.0000  2 V 2.49
Cl: 0.6496 0.8248 0.3170  1 V 2.39
Cl: 0.8248 0.1752 0.6830  1 V 2.39
Cl: 0.8248 0.6496 0.6830  1 V 2.39

Computed properties:
volume = 25.77 Å³ per atom
E_form (uncorrected) = -15.086 eV per formula unit
space-group type = No. 164
magnetic moment = 0.333 μB/atom

ErTaRu2 | GGA-PBE | relaxed

Cell: 3.2222 3.2222 6.7477 Å, 90.00 90.00 90.00°
With the nearest neighbours (Å) after each atom.
Sites, in units of the cell vectors:
Er: 0.0000 0.0000 0.0000  8 Ru 2.94, 4 Er 3.22
Ta: 0.0000 0.0000 0.5000  8 Ru 2.73
Ru: 0.5000 0.5000 0.2761  4 Ta 2.73, 4 Er 2.94, 1 Ru 3.02
Ru: 0.5000 0.5000 0.7239  4 Ta 2.73, 4 Er 2.94, 1 Ru 3.02

Computed properties:
volume = 17.51 Å³ per atom
space-group type = No. 123
excess energy over the best structure of this formula in the dataset = 0.000 eV per formula unit
magnetic moment = 0.000 μB/atom
ΔE_f = -482 meV per atom

MgInIrO6 | GGA-PBE | relaxed

Cell: 5.3326 5.3326 8.7264 Å, 90.00 90.00 120.00°
With the nearest neighbours (Å) after each atom.
Sites, in units of the cell vectors:
Mg: 0.0000 0.0000 0.0000  6 O 2.15
Mg: 0.0000 0.0000 0.5000  6 O 2.15
In: 0.3333 0.6667 0.2500  6 O 2.18
In: 0.6667 0.3333 0.7500  6 O 2.18
Ir: 0.3333 0.6667 0.7500  6 O 1.93
Ir: 0.6667 0.3333 0.2500  6 O 1.93
O: 0.0365 0.3637 0.6264  1 Ir 1.93, 1 Mg 2.15
O: 0.0365 0.6728 0.8736  1 Ir 1.93, 1 Mg 2.15
O: 0.3272 0.3637 0.8736  1 Ir 1.93, 1 Mg 2.15
O: 0.3272 0.9635 0.6264  1 Ir 1.93, 1 Mg 2.15
O: 0.3637 0.0365 0.1264  1 Ir 1.93, 1 Mg 2.15
O: 0.3637 0.3272 0.3736  1 Ir 1.93, 1 Mg 2.15
O: 0.6363 0.6728 0.6264  1 Ir 1.93, 1 Mg 2.15
O: 0.6363 0.9635 0.8736  1 Ir 1.93, 1 Mg 2.15
O: 0.6728 0.0365 0.3736  1 Ir 1.93, 1 Mg 2.15
O: 0.6728 0.6363 0.1264  1 Ir 1.93, 1 Mg 2.15
O: 0.9635 0.3272 0.1264  1 Ir 1.93, 1 Mg 2.15
O: 0.9635 0.6363 0.3736  1 Ir 1.93, 1 Mg 2.15

Computed properties:
volume = 11.94 Å³ per atom
E_form (uncorrected) = -10.614 eV per formula unit
space-group type = No. 163
magnetic moment = 0.000 μB/atom

Er2MnIn | GGA-PBE | relaxed

Cell: 3.5750 3.5750 7.4924 Å, 90.00 90.00 90.00°
With the nearest neighbours (Å) after each atom.
Sites, in units of the cell vectors:
Er: 0.0000 0.0000 0.2280  4 Mn 3.05, 4 In 3.25, 1 Er 3.42
Er: 0.0000 0.0000 0.7720  4 Mn 3.05, 4 In 3.25, 1 Er 3.42
Mn: 0.5000 0.5000 0.0000  8 Er 3.05
In: 0.5000 0.5000 0.5000  8 Er 3.25, 4 In 3.57

Computed properties:
volume = 23.94 Å³ per atom
space-group type = No. 123
excess energy over the best structure of this formula in the dataset = 0.000 eV per formula unit
magnetic moment = 0.781 μB/atom
ΔE_f = -163 meV per atom

Rb2TlTeS | GGA-PBE | relaxed

Cell: 7.8783 5.5902 9.3677 Å, 90.00 101.05 90.00°
With the nearest neighbours (Å) after each atom.
Sites, in units of the cell vectors:
Rb: 0.1188 0.2500 0.3661  2 S 3.39
Rb: 0.2416 0.2500 0.9777  3 S 3.25-3.46
Rb: 0.7584 0.7500 0.0223  3 S 3.25-3.46
Rb: 0.8812 0.7500 0.6339  2 S 3.39
Tl: 0.4713 0.7500 0.3313  1 S 2.57
Tl: 0.5287 0.2500 0.6687  1 S 2.57
Te: 0.3752 0.7500 0.6619  3 Tl 3.04-3.33
Te: 0.6248 0.2500 0.3381  3 Tl 3.04-3.33
S: 0.1657 0.7500 0.1735  1 Tl 2.57
S: 0.8343 0.2500 0.8265  1 Tl 2.57

Computed properties:
volume = 40.49 Å³ per atom
E_form (uncorrected) = -3.787 eV per formula unit
space-group type = No. 11
excess energy over the best structure of this formula in the dataset = 0.000 eV per formula unit
magnetic moment = 0.000 μB/atom

Li3Mn2ReN6 | GGA-PBE | relaxed

Cell: 4.8665 4.8665 5.4208 Å, 98.64 98.64 120.32°
With the nearest neighbours (Å) after each atom.
Sites, in units of the cell vectors:
Li: 0.0000 0.0000 0.0000  6 N 2.05-2.21
Li: 0.3280 0.6720 0.0000  6 N 2.13-2.24
Li: 0.6720 0.3280 0.0000  6 N 2.13-2.24
Mn: 0.1411 0.8589 0.5000  6 N 1.89-2.11
Mn: 0.8589 0.1411 0.5000  6 N 1.89-2.11
Re: 0.5000 0.5000 0.5000  6 N 2.01-2.09
N: 0.0805 0.4236 0.2877  2 Mn 1.93-2.11, 1 Re 2.01, 1 Li 2.13
N: 0.2383 0.2383 0.7442  2 Mn 1.89, 1 Li 2.05, 1 Re 2.09
N: 0.4236 0.0805 0.2877  2 Mn 1.93-2.11, 1 Re 2.01, 1 Li 2.13
N: 0.5764 0.9195 0.7123  2 Mn 1.93-2.11, 1 Re 2.01, 1 Li 2.13
N: 0.7617 0.7617 0.2558  2 Mn 1.89, 1 Li 2.05, 1 Re 2.09
N: 0.9195 0.5764 0.7123  2 Mn 1.93-2.11, 1 Re 2.01, 1 Li 2.13

Computed properties:
volume = 8.80 Å³ per atom
E_form (uncorrected) = -3.057 eV per formula unit
space-group type = No. 12
magnetic moment = 0.000 μB/atom

FePb2 | GGA-PBE | relaxed

Cell: 7.4289 7.4289 6.5157 Å, 106.69 106.69 25.70°
With the nearest neighbours (Å) after each atom.
Sites, in units of the cell vectors:
Fe: 0.0010 0.0010 0.3200  1 Fe 2.35
Fe: 0.9990 0.9990 0.6800  1 Fe 2.35
Pb: 0.3466 0.3466 0.3966  4 Fe 2.93-2.94, 1 Pb 3.28
Pb: 0.3819 0.3819 0.9216  4 Fe 3.11-3.13, 5 Pb 3.27-3.31
Pb: 0.6181 0.6181 0.0784  4 Fe 3.11-3.13, 5 Pb 3.27-3.31
Pb: 0.6534 0.6534 0.6034  4 Fe 2.93-2.94, 1 Pb 3.28

Computed properties:
volume = 24.83 Å³ per atom
space-group type = No. 12
magnetic moment = 0.874 μB/atom
ΔE_f = 401 meV per atom

Pm2Nd3Er5 | GGA-PBE | relaxed

Cell: 9.7020 9.7020 9.3471 Å, 108.25 108.25 113.33°
With the nearest neighbours (Å) after each atom.
Sites, in units of the cell vectors:
Pm: 0.0267 0.2677 0.0459  2 Nd 3.12-3.31, 3 Er 3.30-3.46
Pm: 0.2677 0.0267 0.5459  2 Nd 3.12-3.31, 3 Er 3.30-3.46
Pm: 0.7323 0.9733 0.4541  2 Nd 3.12-3.31, 3 Er 3.30-3.46
Pm: 0.9733 0.7323 0.9541  2 Nd 3.12-3.31, 3 Er 3.30-3.46
Nd: 0.2267 0.4737 0.4517  1 Pm 3.12, 5 Er 3.32-3.48
Nd: 0.2686 0.7314 0.2500  4 Pm 3.31-3.58, 3 Er 3.33-3.66, 2 Nd 3.55
Nd: 0.4737 0.2267 0.9517  1 Pm 3.12, 5 Er 3.32-3.48
Nd: 0.5263 0.7733 0.0483  1 Pm 3.12, 5 Er 3.32-3.48
Nd: 0.7314 0.2686 0.7500  4 Pm 3.31-3.58, 3 Er 3.33-3.66, 2 Nd 3.55
Nd: 0.7733 0.5263 0.5483  1 Pm 3.12, 5 Er 3.32-3.48
Er: 0.0268 0.9732 0.7500  3 Er 3.26-3.53, 4 Pm 3.30-3.44, 2 Nd 3.45
Er: 0.1350 0.3650 0.7466  3 Nd 3.48-3.66, 3 Er 3.49-3.67, 2 Pm 3.50-3.54
Er: 0.2280 0.7720 0.7500  1 Er 3.26, 4 Nd 3.32-3.51, 2 Pm 3.54
Er: 0.3650 0.1350 0.2466  3 Nd 3.48-3.66, 3 Er 3.49-3.67, 2 Pm 3.50-3.54
Er: 0.4743 0.5257 0.2500  5 Nd 3.33-3.47, 2 Pm 3.46, 2 Er 3.49
Er: 0.5257 0.4743 0.7500  5 Nd 3.33-3.47, 2 Pm 3.46, 2 Er 3.49
Er: 0.6350 0.8650 0.7534  3 Nd 3.48-3.66, 3 Er 3.49-3.67, 2 Pm 3.50-3.54
Er: 0.7720 0.2280 0.2500  1 Er 3.26, 4 Nd 3.32-3.51, 2 Pm 3.54
Er: 0.8650 0.6350 0.2534  3 Nd 3.48-3.66, 3 Er 3.49-3.67, 2 Pm 3.50-3.54
Er: 0.9732 0.0268 0.2500  3 Er 3.26-3.53, 4 Pm 3.30-3.44, 2 Nd 3.45

Computed properties:
volume = 33.20 Å³ per atom
space-group type = No. 15
magnetic moment = 0.000 μB/atom
ΔE_f = 182 meV per atom

AgTe2Os | GGA-PBE | relaxed

Cell: 3.0306 3.8561 8.2957 Å, 90.00 92.95 90.00°
With the nearest neighbours (Å) after each atom.
Sites, in units of the cell vectors:
Ag: 0.0000 0.0000 0.0000  2 Ag 3.03, 4 Te 3.05
Te: 0.0628 0.5000 0.7172  2 Os 2.64
Te: 0.9372 0.5000 0.2828  2 Os 2.64
Os: 0.0000 0.0000 0.5000  4 Te 2.64

Computed properties:
volume = 24.20 Å³ per atom
E_form (uncorrected) = 2.234 eV per formula unit
space-group type = No. 10
excess energy over the best structure of this formula in the dataset = 1.345 eV per formula unit
magnetic moment = 0.000 μB/atom

AlCdMo2 | GGA-PBE | relaxed

Cell: 3.2575 3.2575 6.4463 Å, 90.00 90.00 90.00°
With the nearest neighbours (Å) after each atom.
Sites, in units of the cell vectors:
Al: 0.0000 0.0000 0.0000  5 Mo 2.76-2.81, 4 Cd 2.88
Cd: 0.5000 0.5000 0.2686  4 Al 2.88, 5 Mo 2.99-3.19
Mo: 0.0000 0.0000 0.5646  4 Mo 2.64, 1 Al 2.81
Mo: 0.5000 0.5000 0.7634  4 Mo 2.64, 4 Al 2.76

Computed properties:
volume = 17.10 Å³ per atom
space-group type = No. 99
excess energy over the best structure of this formula in the dataset = 0.000 eV per formula unit
magnetic moment = 0.000 μB/atom
ΔE_f = 101 meV per atom

InSi2 | GGA-PBE | relaxed

Cell: 4.8192 4.8192 2.9886 Å, 90.00 90.00 124.90°
With the nearest neighbours (Å) after each atom.
Sites, in units of the cell vectors:
In: 0.0000 0.0000 0.0000  2 In 2.99, 12 Si 3.07-3.16
Si: 0.3262 0.6738 0.5000  2 Si 2.58
Si: 0.6738 0.3262 0.5000  2 Si 2.58

Computed properties:
volume = 18.98 Å³ per atom
E_form (uncorrected) = 1.489 eV per formula unit
space-group type = No. 65
excess energy over the best structure of this formula in the dataset = 0.786 eV per formula unit
magnetic moment = 0.000 μB/atom

Np4U3PaS8 | GGA-PBE | relaxed

Cell: 7.6665 7.6665 7.8873 Å, 119.21 119.21 59.90°
With the nearest neighbours (Å) after each atom.
Sites, in units of the cell vectors:
Np: 0.0000 0.0000 0.0000  6 S 2.73-2.74
Np: 0.0000 0.5000 0.0000  6 S 2.74-2.76
Np: 0.5000 0.0000 0.0000  6 S 2.74-2.76
Np: 0.5000 0.5000 0.0000  6 S 2.74-2.75
U: 0.0000 0.0000 0.5000  6 S 2.75
U: 0.0000 0.5000 0.5000  6 S 2.74-2.76
U: 0.5000 0.0000 0.5000  6 S 2.74-2.76
Pa: 0.5000 0.5000 0.5000  6 S 2.76
S: 0.2487 0.2487 0.2472  3 Np 2.73-2.74, 2 U 2.76, 1 Pa 2.76
S: 0.2489 0.7503 0.7505  3 Np 2.74-2.75, 2 U 2.74-2.75, 1 Pa 2.76
S: 0.2503 0.2503 0.7489  3 U 2.74-2.75, 3 Np 2.74-2.76
S: 0.2497 0.7511 0.2495  3 Np 2.74-2.75, 2 U 2.74-2.75, 1 Pa 2.76
S: 0.7503 0.2489 0.7505  3 Np 2.74-2.75, 2 U 2.74-2.75, 1 Pa 2.76
S: 0.7497 0.7497 0.2511  3 U 2.74-2.75, 3 Np 2.74-2.76
S: 0.7511 0.2497 0.2495  3 Np 2.74-2.75, 2 U 2.74-2.75, 1 Pa 2.76
S: 0.7513 0.7513 0.7528  3 Np 2.73-2.74, 2 U 2.76, 1 Pa 2.76

Computed properties:
volume = 20.71 Å³ per atom
E_form (uncorrected) = -22.350 eV per formula unit
space-group type = No. 12
magnetic moment = 0.092 μB/atom